The following is a PBEsol calculation of a relaxed structure of Y2AlNi, from Alexandria.

Results
Its calculated total energy is -6.363 eV per atom. The density is 5301 kg/m³. Its space group is P4/mmm (123). The energy of formation from the pure elements comes out at -0.389 eV/atom.

abc: 3.414 3.414 7.082
angles: 90.00 90.00 90.00
Sites, in units of the cell vectors:
1 Y 0.000 0.000 0.726
2 Y 0.000 0.000 0.274
3 Ni 0.500 0.500 0.500
4 Al 0.500 0.500 0.000